Arrangement i

Below is a relaxed CuSi2Ag crystal, with properties calculated at the PBE level.

Values from the calculation:
- Density: 6.34 g/cm3
- Crystal system: trigonal
- Total magnetic moment: 0.000 μB/atom

Unit cell a=2.8382 b=2.8382 c=25.6388 alpha=90.00 beta=90.00 gamma=120.00
Space group R-3m (No. 166, hexagonal axes)
Inequivalent atoms, fractional coordinates:
Cu  0.0000  0.0000  0.0000 x3
Si  0.0000  0.0000  0.2570 x6
Ag  0.0000  0.0000  0.5000 x3

***

Arrangement ii

Below is a relaxed CuSi2Ag crystal, with properties calculated at the PBE level.

Values from the calculation:
- Density: 6.09 g/cm3
- Crystal system: tetragonal
- Total magnetic moment: 0.000 μB/atom

Unit cell a=4.8929 b=4.8929 c=2.5900 alpha=90.00 beta=90.00 gamma=90.00
Space group P4/mmm (No. 123)
Inequivalent atoms, fractional coordinates:
Cu  0.0000  0.0000  0.0000 x1
Si  0.0000  0.5000  0.5000 x2
Ag  0.5000  0.5000  0.0000 x1

***

Arrangement iii

Below is a relaxed CuSi2Ag crystal, with properties calculated at the PBE level.

Values from the calculation:
- Density: 6.24 g/cm3
- Crystal system: monoclinic
- Total magnetic moment: 0.000 μB/atom

Unit cell a=9.6164 b=2.8653 c=4.3952 alpha=90.00 beta=90.13 gamma=90.00
Space group Cm (No. 8)
Inequivalent atoms, fractional coordinates:
Cu  0.0000  0.0000  0.0000 x2
Si  0.2405  0.0000  0.2616 x2
Si  0.4829  0.0000  0.4862 x2
Ag  0.2334  0.5000  0.7676 x2

***

Arrangement iv

Below is a relaxed CuSi2Ag crystal, with properties calculated at the PBE level.

Values from the calculation:
- Density: 6.27 g/cm3
- Crystal system: tetragonal
- Total magnetic moment: 0.000 μB/atom

Unit cell a=3.9087 b=3.9087 c=7.8846 alpha=90.00 beta=90.00 gamma=90.00
Space group I-4m2 (No. 119)
Inequivalent atoms, fractional coordinates:
Cu  0.0000  0.0000  0.0000 x2
Si  0.0000  0.0000  0.5000 x2
Si  0.0000  0.5000  0.7500 x2
Ag  0.0000  0.5000  0.2500 x2

***

The structure with the least stability is arrangement ii.

***

Arrangement i

Below is a relaxed CuSi2Ag crystal, with properties calculated at the PBE level.

Values from the calculation:
- Density: 6.06 g/cm3
- Crystal system: orthorhombic
- Total magnetic moment: 0.000 μB/atom

Unit cell a=2.6391 b=4.4801 c=5.2780 alpha=90.00 beta=90.00 gamma=90.00
Space group Pmmm (No. 47)
Inequivalent atoms, fractional coordinates:
Cu  0.0000  0.0000  0.0000 x1
Si  0.0000  0.5000  0.5000 x1
Si  0.5000  0.5000  0.0000 x1
Ag  0.5000  0.0000  0.5000 x1

***

Arrangement ii

Below is a relaxed CuSi2Ag crystal, with properties calculated at the PBE level.

Values from the calculation:
- Density: 5.85 g/cm3
- Crystal system: tetragonal
- Total magnetic moment: 0.000 μB/atom

Unit cell a=3.9622 b=3.9622 c=16.4739 alpha=90.00 beta=90.00 gamma=90.00
Space group I-42d (No. 122)
Inequivalent atoms, fractional coordinates:
Cu  0.0000  0.0000  0.0000 x4
Si  0.2039  0.2500  0.1250 x8
Ag  0.0000  0.0000  0.5000 x4

***

The structure with the least stability is arrangement i.

***

Arrangement i

Below is a relaxed Sm2Cu2Ag crystal, with properties calculated at the PBE level.

Values from the calculation:
- Density: 8.16 g/cm3
- Crystal system: orthorhombic
- Total magnetic moment: 0.000 μB/atom

Unit cell a=4.0514 b=14.3302 c=3.7574 alpha=90.00 beta=90.00 gamma=90.00
Space group Cmmm (No. 65)
Inequivalent atoms, fractional coordinates:
Sm  0.0000  0.1271  0.0000 x4
Cu  0.0000  0.2988  0.5000 x4
Ag  0.0000  0.5000  0.5000 x2

***

Arrangement ii

Below is a relaxed Sm2Cu2Ag crystal, with properties calculated at the PBE level.

Values from the calculation:
- Density: 8.17 g/cm3
- Crystal system: tetragonal
- Total magnetic moment: 0.000 μB/atom

Unit cell a=7.5529 b=7.5529 c=3.8175 alpha=90.00 beta=90.00 gamma=90.00
Space group P4/mbm (No. 127)
Inequivalent atoms, fractional coordinates:
Sm  0.1777  0.3223  0.0000 x4
Cu  0.1179  0.6179  0.5000 x4
Ag  0.0000  0.0000  0.5000 x2

***

The structure with the least stability is arrangement ii.

***

Arrangement i

Below is a relaxed SmYCuAg crystal, with properties calculated at the PBE level.

Values from the calculation:
- Density: 7.32 g/cm3
- Crystal system: tetragonal
- Total magnetic moment: 0.000 μB/atom

Unit cell a=3.5864 b=3.5864 c=7.2462 alpha=90.00 beta=90.00 gamma=90.00
Space group P4mm (No. 99)
Inequivalent atoms, fractional coordinates:
Sm  0.0000  0.0000  0.0000 x1
Y  0.0000  0.0000  0.4730 x1
Cu  0.5000  0.5000  0.2450 x1
Ag  0.5000  0.5000  0.7273 x1

***

Arrangement ii

Below is a relaxed SmYCuAg crystal, with properties calculated at the PBE level.

Values from the calculation:
- Density: 7.25 g/cm3
- Crystal system: cubic
- Total magnetic moment: 0.000 μB/atom

Unit cell a=7.2196 b=7.2196 c=7.2196 alpha=90.00 beta=90.00 gamma=90.00
Space group F-43m (No. 216)
Inequivalent atoms, fractional coordinates:
Sm  0.0000  0.0000  0.0000 x4
Y  0.0000  0.0000  0.5000 x4
Cu  0.2500  0.2500  0.7500 x4
Ag  0.2500  0.2500  0.2500 x4

***

The structure with the least stability is arrangement ii.

***

Arrangement i

Below is a relaxed CuAgSn crystal, with properties calculated at the PBE level.

Values from the calculation:
- Density: 8.35 g/cm3
- Crystal system: orthorhombic
- Total magnetic moment: 0.000 μB/atom

Unit cell a=3.5455 b=9.1955 c=7.0813 alpha=90.00 beta=90.00 gamma=90.00
Space group Ima2 (No. 46)
Inequivalent atoms, fractional coordinates:
Cu  0.2500  0.0958  0.0000 x4
Ag  0.2500  0.1172  0.6253 x4
Sn  0.2500  0.6635  0.7926 x4

***

Arrangement ii

Below is a relaxed CuAgSn crystal, with properties calculated at the PBE level.

Values from the calculation:
- Density: 8.54 g/cm3
- Crystal system: trigonal
- Total magnetic moment: 0.000 μB/atom

Unit cell a=4.5816 b=4.5816 c=3.1030 alpha=90.00 beta=90.00 gamma=120.00
Space group P3m1 (No. 156)
Inequivalent atoms, fractional coordinates:
Cu  0.0000  0.0000  0.0000 x1
Ag  0.6667  0.3333  0.5789 x1
Sn  0.3333  0.6667  0.0949 x1

***

The structure with the least stability is arrangement i.

***

Arrangement i

Below is a relaxed CuAgSn crystal, with properties calculated at the PBE level.

Values from the calculation:
- Density: 8.74 g/cm3
- Crystal system: triclinic
- Total magnetic moment: 0.000 μB/atom

Unit cell a=3.4860 b=3.7102 c=8.5242 alpha=89.46 beta=89.85 gamma=89.58
Space group P-1 (No. 2)
Inequivalent atoms, fractional coordinates:
Cu  0.2455  0.2426  0.4226 x2
Ag  0.2493  0.2481  0.0863 x2
Sn  0.2531  0.2561  0.7307 x2

***

Arrangement ii

Below is a relaxed CuAgSn crystal, with properties calculated at the PBE level.

Values from the calculation:
- Density: 8.50 g/cm3
- Crystal system: triclinic
- Total magnetic moment: 0.000 μB/atom

Unit cell a=3.0712 b=6.0600 c=6.9258 alpha=64.20 beta=78.89 gamma=89.90
Space group P-1 (No. 2)
Inequivalent atoms, fractional coordinates:
Cu  0.0009  0.2218  0.4994 x2
Ag  0.3890  0.3751  0.7495 x2
Sn  0.3489  0.8416  0.8184 x2

***

Arrangement iii

Below is a relaxed CuAgSn crystal, with properties calculated at the PBE level.

Values from the calculation:
- Density: 8.72 g/cm3
- Crystal system: tetragonal
- Total magnetic moment: 0.000 μB/atom

Unit cell a=3.5991 b=3.5991 c=8.5267 alpha=90.00 beta=90.00 gamma=90.00
Space group I4mm (No. 107)
Inequivalent atoms, fractional coordinates:
Cu  0.0000  0.0000  0.0000 x2
Ag  0.0000  0.0000  0.6598 x2
Sn  0.0000  0.0000  0.3336 x2

***

The structure with the least stability is arrangement iii.

***

Arrangement i

Below is a relaxed CuAgSn2 crystal, with properties calculated at the PBE level.

Values from the calculation:
- Density: 7.57 g/cm3
- Crystal system: trigonal
- Total magnetic moment: 0.000 μB/atom

Unit cell a=3.3117 b=3.3117 c=28.3269 alpha=90.00 beta=90.00 gamma=120.00
Space group R-3m (No. 166, hexagonal axes)
Inequivalent atoms, fractional coordinates:
Cu  0.0000  0.0000  0.0000 x3
Ag  0.0000  0.0000  0.5000 x3
Sn  0.0000  0.0000  0.4026 x6

***

Arrangement ii

Below is a relaxed CuAgSn2 crystal, with properties calculated at the PBE level.

Values from the calculation:
- Density: 8.14 g/cm3
- Crystal system: tetragonal
- Total magnetic moment: 0.000 μB/atom

Unit cell a=3.2218 b=3.2218 c=8.0342 alpha=90.00 beta=90.00 gamma=90.00
Space group P4/mmm (No. 123)
Inequivalent atoms, fractional coordinates:
Cu  0.0000  0.0000  0.0000 x1
Ag  0.0000  0.0000  0.5000 x1
Sn  0.5000  0.5000  0.2247 x2

***

The structure with the least stability is arrangement i.

***

Arrangement i

Below is a relaxed CuAgSn2 crystal, with properties calculated at the PBE level.

Values from the calculation:
- Density: 7.61 g/cm3
- Crystal system: trigonal
- Total magnetic moment: 0.000 μB/atom

Unit cell a=4.3410 b=4.3410 c=16.3920 alpha=90.00 beta=90.00 gamma=120.00
Space group R3m (No. 160, hexagonal axes)
Inequivalent atoms, fractional coordinates:
Cu  0.0000  0.0000  0.0000 x3
Ag  0.0000  0.0000  0.8312 x3
Sn  0.0000  0.0000  0.4011 x3
Sn  0.0000  0.0000  0.6002 x3

***

Arrangement ii

Below is a relaxed CuAgSn2 crystal, with properties calculated at the PBE level.

Values from the calculation:
- Density: 7.52 g/cm3
- Crystal system: tetragonal
- Total magnetic moment: 0.000 μB/atom

Unit cell a=4.4879 b=4.4879 c=17.9225 alpha=90.00 beta=90.00 gamma=90.00
Space group I-42d (No. 122)
Inequivalent atoms, fractional coordinates:
Cu  0.0000  0.0000  0.0000 x4
Ag  0.0000  0.0000  0.5000 x4
Sn  0.2345  0.2500  0.1250 x8

***

The structure with the least stability is arrangement ii.